Material: Cr2GeMoN
Method: DFT, PBE-GGA
State: optimized geometry

```
Cr2GeMoN
1.0
3.856 0.000 0.000
0.000 3.856 0.000
0.000 0.000 4.082
Mo Cr Ge N
1 2 1 1
direct
0.000 0.000 0.500 Mo
0.500 0.000 0.000 Cr
0.000 0.500 0.000 Cr
0.500 0.500 0.500 Ge
0.000 0.000 0.000 N
```

## Properties
Total magnetic moment = 0.0 Bohr magnetons per cell
Uncorrected formation energy = -155 meV/atom
SG = P4/mmm